[1]
Entry from Alexandria via LeMat-Bulk: a relaxed PrMg2Hg crystal (PBE).

a = 7.265 Å, b = 7.265 Å, c = 7.265 Å
α = 90.00°, β = 90.00°, γ = 90.00°
Space group Fm-3m (No. 225)
Asymmetric unit:
Pr1 0.000 0.000 0.000 x4
Mg1 0.250 0.250 0.250 x8
Hg1 0.000 0.000 0.500 x4

Computed properties:
- total energy (eV per atom) = -2.27
- size of the total moment (μB per formula unit) = 0.00
- ΔE to the lowest computed polymorph (meV per atom) = 95

[2]
Entry from Alexandria via LeMat-Bulk: a relaxed PrMg9Hg2 crystal (PBE).

a = 12.091 Å, b = 12.091 Å, c = 7.698 Å
α = 90.00°, β = 90.00°, γ = 90.00°
Space group I4_1/amd (No. 141, origin choice 2)
Asymmetric unit:
Pr1 0.000 0.250 0.375 x4
Mg1 0.000 0.250 0.875 x4
Mg2 0.122 0.050 0.678 x32
Hg1 0.000 0.000 0.000 x8

Computed properties:
- total energy (eV per atom) = -1.79
- size of the total moment (μB per formula unit) = 0.00
- ΔE to the lowest computed polymorph (meV per atom) = 0

[3]
Entry from Alexandria via LeMat-Bulk: a relaxed PrMg2Hg3 crystal (PBE).

a = 10.982 Å, b = 8.660 Å, c = 6.300 Å
α = 90.00°, β = 90.00°, γ = 90.00°
Space group Cmcm (No. 63)
Asymmetric unit:
Pr1 0.000 0.143 0.250 x4
Mg1 0.218 0.500 0.000 x8
Hg1 0.000 0.497 0.750 x4
Hg2 0.145 0.205 0.750 x8

Computed properties:
- total energy (eV per atom) = -1.75
- size of the total moment (μB per formula unit) = 0.00
- ΔE to the lowest computed polymorph (meV per atom) = 68

[4]
Entry from Alexandria via LeMat-Bulk: a relaxed PrMgHg4 crystal (PBE).

a = 4.525 Å, b = 4.525 Å, c = 8.446 Å
α = 90.00°, β = 90.00°, γ = 90.00°
Space group P4/mmm (No. 123)
Asymmetric unit:
Pr1 0.000 0.000 0.000 x1
Mg1 0.500 0.500 0.500 x1
Hg1 0.000 0.500 0.276 x4

Computed properties:
- total energy (eV per atom) = -1.38
- size of the total moment (μB per formula unit) = 0.00
- ΔE to the lowest computed polymorph (meV per atom) = 169

[5]
Entry from Alexandria via LeMat-Bulk: a relaxed Pr6MgHg2 crystal (PBE).

a = 15.780 Å, b = 3.614 Å, c = 11.883 Å
α = 90.00°, β = 120.32°, γ = 90.00°
Space group C2/m (No. 12)
Asymmetric unit:
Pr1 0.035 0.000 0.239 x4
Pr2 0.148 0.500 0.054 x4
Pr3 0.231 0.000 0.614 x4
Mg1 0.000 0.000 0.500 x2
Hg1 0.145 0.500 0.769 x4

Computed properties:
- total energy (eV per atom) = -3.49
- size of the total moment (μB per formula unit) = 0.00

[6]
Entry from Alexandria via LeMat-Bulk: a relaxed Pr2Mg5Hg4 crystal (PBE).

a = 6.049 Å, b = 9.921 Å, c = 18.868 Å
α = 90.00°, β = 90.00°, γ = 90.00°
Space group Fmmm (No. 69)
Asymmetric unit:
Pr1 0.000 0.000 0.109 x8
Mg1 0.000 0.000 0.500 x4
Mg2 0.250 0.250 0.000 x8
Mg3 0.250 0.250 0.250 x8
Hg1 0.000 0.159 0.369 x16

Computed properties:
- total energy (eV per atom) = -1.94
- size of the total moment (μB per formula unit) = 0.00

[7]
Entry from Alexandria via LeMat-Bulk: a relaxed PrMg6Hg4 crystal (PBE).

a = 8.4074 Å, b = 8.4074 Å, c = 4.2177 Å
α = 90.00°, β = 90.00°, γ = 120.00°
Space group P-6m2 (No. 187)
Asymmetric unit:
Pr1 0.0000 0.0000 0.0000 x1
Mg1 0.2033 0.4066 0.5000 x3
Mg2 0.5330 0.0659 0.0000 x3
Hg1 0.3333 0.6667 0.0000 x1
Hg2 0.3702 0.1851 0.5000 x3

Computed properties:
- total energy (eV per atom) = -1.68
- size of the total moment (μB per formula unit) = 0.00

[8]
Entry from Alexandria via LeMat-Bulk: a relaxed PrMg6Hg12 crystal (PBE).

a = 9.869 Å, b = 9.869 Å, c = 9.869 Å
α = 90.00°, β = 90.00°, γ = 90.00°
Space group Im-3 (No. 204)
Asymmetric unit:
Pr1 0.000 0.000 0.000 x2
Mg1 0.000 0.346 0.500 x12
Hg1 0.000 0.173 0.277 x24

Computed properties:
- total energy (eV per atom) = -1.06
- size of the total moment (μB per formula unit) = 0.00

[9]
Entry from Alexandria via LeMat-Bulk: a relaxed Pr2Mg3Hg4 crystal (PBE).

a = 6.320 Å, b = 16.619 Å, c = 8.547 Å
α = 90.00°, β = 90.00°, γ = 90.00°
Space group Cmce (No. 64)
Asymmetric unit:
Pr1 0.000 0.107 0.089 x8
Mg1 0.000 0.000 0.500 x4
Mg2 0.250 0.223 0.750 x8
Hg1 0.000 0.180 0.466 x8
Hg2 0.250 0.052 0.750 x8

Computed properties:
- total energy (eV per atom) = -2.07
- size of the total moment (μB per formula unit) = 0.00
- ΔE to the lowest computed polymorph (meV per atom) = 28

[10]
Entry from Alexandria via LeMat-Bulk: a relaxed Pr3MgHg12 crystal (PBE).

a = 4.743 Å, b = 4.743 Å, c = 18.147 Å
α = 90.00°, β = 90.00°, γ = 90.00°
Space group P4/mmm (No. 123)
Asymmetric unit:
Pr1 0.000 0.000 0.000 x1
Pr2 0.000 0.000 0.265 x2
Mg1 0.000 0.000 0.500 x1
Hg1 0.000 0.500 0.130 x4
Hg2 0.000 0.500 0.386 x4
Hg3 0.500 0.500 0.000 x1
Hg4 0.500 0.500 0.256 x2
Hg5 0.500 0.500 0.500 x1

Computed properties:
- total energy (eV per atom) = -1.53
- size of the total moment (μB per formula unit) = 0.00

[11]
Entry from Alexandria via LeMat-Bulk: a relaxed Pr8Mg2Hg crystal (PBE).

a = 18.761 Å, b = 5.499 Å, c = 7.328 Å
α = 90.00°, β = 105.52°, γ = 90.00°
Space group C2/m (No. 12)
Asymmetric unit:
Pr1 0.021 0.000 0.261 x4
Pr2 0.093 0.500 0.954 x4
Pr3 0.162 0.500 0.449 x4
Pr4 0.194 0.000 0.778 x4
Mg1 0.189 0.000 0.213 x4
Hg1 0.000 0.500 0.500 x2

Computed properties:
- total energy (eV per atom) = -3.84
- size of the total moment (μB per formula unit) = 0.00

[12]
Entry from Alexandria via LeMat-Bulk: a relaxed PrMgHg crystal (PBE).

a = 5.0612 Å, b = 5.0612 Å, c = 3.5694 Å
α = 90.00°, β = 90.00°, γ = 120.00°
Space group P-6m2 (No. 187)
Asymmetric unit:
Pr1 0.0000 0.0000 0.0000 x1
Mg1 0.3333 0.6667 0.5000 x1
Hg1 0.6667 0.3333 0.5000 x1

Computed properties:
- total energy (eV per atom) = -2.56
- size of the total moment (μB per formula unit) = 0.00